RbSbSeBr2 | PBE | optimized geometry

POSCAR file:
```
RbSbSeBr2
1.0
-0.8557 -4.1223 4.2327
-3.8149 -2.8803 -3.5765
4.5204 -3.2236 -2.2257
Sb Se Br Rb
1 1 2 1
Direct
0.5000 0.5000 0.5000
0.0000 0.0000 0.5000
0.0000 0.5000 0.0000
0.5000 0.0000 0.0000
0.0000 0.0000 0.0000
```

Calculated values
Magnetic moment in μB/cell: 0.00
Offset from the most stable computed form in meV/atom: 1277.6
Energy relative to the elements, uncorrected in kJ/mol of atoms: 46.2
Fermi-level density of states in states/eV/cell: 8.44
Symmetry: P4/mmm